1.
Compound: Er2AlGa2Ru5
Source: Alexandria
Functional: PBE
Structure: relaxed

ΔE_f: -0.383 eV/atom
SG: P4/mbm
total moment: 1.0 μB per formula unit
DFT total energy: -6.913 eV/atom

a b c (Å): 3.384 9.884 9.884
angles (deg): 90.00 90.00 90.00
Last column: magnetic moment on the atom in μB.
Fractional coordinates of all 20 atoms:
Er 0.000 0.669 0.169  0.00
Er 0.000 0.331 0.831  0.00
Er 0.000 0.169 0.331  0.00
Er 0.000 0.831 0.669  0.00
Al 0.000 0.000 0.000  0.00
Al 0.000 0.500 0.500  0.00
Ga 0.000 0.131 0.631  -0.01
Ga 0.000 0.869 0.369  -0.01
Ga 0.000 0.631 0.869  -0.01
Ga 0.000 0.369 0.131  -0.01
Ru 0.500 0.193 0.063  0.23
Ru 0.500 0.807 0.937  0.23
Ru 0.500 0.063 0.807  0.23
Ru 0.500 0.693 0.437  0.23
Ru 0.500 0.937 0.193  0.23
Ru 0.500 0.307 0.563  0.23
Ru 0.500 0.563 0.693  0.23
Ru 0.500 0.437 0.307  0.23
Ru 0.500 0.500 0.000  0.02
Ru 0.500 0.000 0.500  0.02

2.
Compound: ErAl2GaS6
Source: Alexandria
Functional: PBE
Structure: relaxed

SG: C2/c
raw formation energy: -1.12 eV/atom
total moment: 0.0 μB per formula unit
DFT total energy: -5.101 eV/atom

a b c (Å): 6.831 8.503 8.503
angles (deg): 85.81 74.71 74.71
Fractional coordinates of all 20 atoms:
Er 0.250 0.876 0.124
Er 0.750 0.124 0.876
Al 0.293 0.746 0.608
Al 0.207 0.392 0.254
Al 0.707 0.254 0.392
Al 0.793 0.608 0.746
Ga 0.250 0.200 0.800
Ga 0.750 0.800 0.200
S 0.157 0.949 0.814
S 0.343 0.186 0.051
S 0.843 0.051 0.186
S 0.657 0.814 0.949
S 0.426 0.878 0.375
S 0.074 0.625 0.122
S 0.574 0.122 0.625
S 0.926 0.375 0.878
S 0.006 0.713 0.550
S 0.494 0.450 0.287
S 0.994 0.287 0.450
S 0.506 0.550 0.713

3.
Compound: ErScAlGa
Source: Alexandria
Functional: PBE
Structure: relaxed

ΔE_f: -0.477 eV/atom
SG: F-43m
total moment: 0.0 μB per formula unit
DFT total energy: -4.893 eV/atom

a b c (Å): 4.909 4.909 4.909
angles (deg): 60.00 60.00 60.00
Fractional coordinates of all 4 atoms:
Sc 0.500 0.500 0.500
Al 0.750 0.750 0.750
Ga 0.250 0.250 0.250
Er 0.000 0.000 0.000

4.
Compound: SmErAl2Ga2
Source: Alexandria
Functional: PBE
Structure: relaxed

ΔE_f: -0.566 eV/atom
SG: P-3m1
total moment: 0.0 μB per formula unit
DFT total energy: -4.370 eV/atom

a b c (Å): 4.398 4.398 7.570
angles (deg): 90.00 90.00 120.00
Fractional coordinates of all 6 atoms:
Sm 0.000 0.000 0.000
Er 0.000 0.000 0.500
Al 0.667 0.333 0.257
Al 0.333 0.667 0.743
Ga 0.667 0.333 0.740
Ga 0.333 0.667 0.260

The lowest DFT total energy belongs to which entry?
Er2AlGa2Ru5

Repeat the fourth record exactly.
Compound: SmErAl2Ga2
Source: Alexandria
Functional: PBE
Structure: relaxed

ΔE_f: -0.566 eV/atom
SG: P-3m1
total moment: 0.0 μB per formula unit
DFT total energy: -4.370 eV/atom

a b c (Å): 4.398 4.398 7.570
angles (deg): 90.00 90.00 120.00
Fractional coordinates of all 6 atoms:
Sm 0.000 0.000 0.000
Er 0.000 0.000 0.500
Al 0.667 0.333 0.257
Al 0.333 0.667 0.743
Ga 0.667 0.333 0.740
Ga 0.333 0.667 0.260